(1)
Material: BaPt4S8
Method: DFT, PBE
State: relaxed

Results
Space group = R-3m (166)

Unit cell a=7.268 b=7.268 c=8.427 alpha=64.45 beta=64.45 gamma=60.00
Sites, in units of the cell vectors:
S 0.775 0.283 0.166
Pt 0.000 0.500 0.000
S 0.775 0.775 0.166
S 0.283 0.775 0.166
Pt 0.000 0.000 0.000
Pt 0.500 0.500 0.000
S 0.717 0.225 0.834
S 0.276 0.276 0.171
Pt 0.500 0.000 0.000
S 0.225 0.225 0.834
S 0.724 0.724 0.829
Ba 0.500 0.500 0.500
S 0.225 0.717 0.834

=====

(2)
Material: BaPt2S2
Method: DFT, PBE
State: relaxed

Results
Space group = I4/mmm (139)

Unit cell a=4.323 b=4.323 c=6.464 alpha=70.46 beta=70.46 gamma=90.00
Sites, in units of the cell vectors:
Ba 0.000 0.000 0.000
Pt 0.250 0.750 0.500
S 0.641 0.641 0.718
Pt 0.750 0.250 0.500
S 0.359 0.359 0.282

=====

(3)
Material: BaPtS
Method: DFT, PBE
State: relaxed

Results
Space group = Amm2 (38)

Unit cell a=4.530 b=4.822 c=8.265 alpha=106.96 beta=90.00 gamma=90.00
Sites, in units of the cell vectors:
S 0.432 0.563 0.858
Ba 0.432 0.210 0.151
Ba 0.432 0.937 0.607
Pt 0.932 0.786 0.303
Pt 0.932 0.609 0.950
S 0.932 0.076 0.884

=====

(4)
Material: BaPtS
Method: DFT, PBE
State: relaxed

Results
Space group = Amm2 (38)

Unit cell a=4.382 b=6.431 c=6.435 alpha=81.16 beta=70.08 gamma=70.15
Sites, in units of the cell vectors:
Pt 0.862 0.866 0.760
S 0.362 0.779 0.847
Ba 0.612 0.819 0.307
Ba 0.112 0.319 0.807
Pt 0.361 0.366 0.260
S 0.861 0.279 0.347

=====

(5)
Material: BaPtS3
Method: DFT, PBE
State: relaxed

Results
Space group = Pm-3m (221)

Unit cell a=4.858 b=4.858 c=4.858 alpha=90.00 beta=90.00 gamma=90.00
Sites, in units of the cell vectors:
S 0.500 0.000 0.000
Pt 0.000 0.000 0.000
S 0.000 0.500 0.000
Ba 0.500 0.500 0.500
S 0.000 0.000 0.500

=====

(6)
Material: BaPtS
Method: DFT, PBE
State: relaxed

Results
Space group = Pnma (62)

Unit cell a=7.699 b=6.253 c=6.921 alpha=90.00 beta=90.00 gamma=90.00
Sites, in units of the cell vectors:
Pt 0.966 0.750 0.292
S 0.692 0.750 0.428
Pt 0.466 0.750 0.208
Ba 0.728 0.250 0.381
Ba 0.272 0.750 0.619
S 0.808 0.250 0.928
Pt 0.534 0.250 0.792
S 0.308 0.250 0.572
Ba 0.228 0.250 0.119
Pt 0.034 0.250 0.708
Ba 0.772 0.750 0.881
S 0.192 0.750 0.072

=====

(7)
Material: BaPtS
Method: DFT, PBE
State: relaxed

Results
Space group = P-1 (2)

Unit cell a=4.405 b=6.309 c=6.379 alpha=82.11 beta=110.31 gamma=104.37
Sites, in units of the cell vectors:
Pt 0.355 0.881 0.738
Ba 0.050 0.329 0.816
S 0.767 0.338 0.274
Ba 0.591 0.814 0.293
S 0.875 0.804 0.835
Pt 0.287 0.261 0.371

=====

(8)
Material: BaPtS
Method: DFT, PBE
State: relaxed

Results
Space group = Cm (8)

Unit cell a=6.610 b=6.603 c=7.156 alpha=52.86 beta=52.82 gamma=87.86
Sites, in units of the cell vectors:
S 0.521 0.536 0.891
S 0.140 0.155 0.903
Pt 0.822 0.837 0.793
Ba 0.460 0.888 0.317
Ba 0.872 0.474 0.317
Pt 0.276 0.291 0.441

=====

(9)
Material: BaPtS
Method: DFT, PBE
State: relaxed

Results
Space group = Cmc2_1 (36)

Unit cell a=5.016 b=5.017 c=6.606 alpha=90.00 beta=90.00 gamma=76.61
Sites, in units of the cell vectors:
Ba 0.148 0.383 0.132
S 0.289 0.523 0.633
Pt 0.499 0.734 0.882
Pt 0.499 0.733 0.383
S 0.708 0.943 0.133
Ba 0.850 0.084 0.632

=====

(10)
Material: BaPtS
Method: DFT, PBE
State: relaxed

Results
Space group = P1 (1)

Unit cell a=4.415 b=4.416 c=10.540 alpha=52.91 beta=101.12 gamma=90.34
Sites, in units of the cell vectors:
Pt 0.812 0.049 0.517
S 0.772 0.680 0.426
Ba 0.170 0.553 0.209
Pt 0.984 0.499 0.901
S 0.526 0.370 0.992
Ba 0.400 0.276 0.709

=====

In eV per atom, the E_form (uncorrected) values for the records above are, in order, -0.524 -0.516 -0.872 -1.184 -0.694 -1.214 -1.197 -1.152 -1.200 -1.206.
In μB/f.u., the total magnetization values for the records above are, in order, 0.00 0.00 0.00 0.00 0.00 0.00 0.00 0.00 0.00 0.00.
In states/eV/f.u., the Fermi-level density of states values for the records above are, in order, 8.940 3.740 2.170 0.000 7.211 0.000 0.000 0.000 0.000 0.000.